Compound: SrI2O6
Source: the Alexandria database
Functional: PBE
Structure: relaxed

abc: 7.3456 7.3456 7.9215
angles: 60.36 60.36 68.49
Closest atoms and distances in Å follow each position.
Fractional coordinates of all 18 atoms:
Sr  0.3466  0.6534  0.7500  8 O 2.65-2.83
Sr  0.6534  0.3466  0.2500  8 O 2.65-2.83
I  0.8422  0.7908  0.2071  3 O 1.83-1.86
I  0.7908  0.8422  0.7071  3 O 1.83-1.86
I  0.2092  0.1578  0.2929  3 O 1.83-1.86
I  0.1578  0.2092  0.7929  3 O 1.83-1.86
O  0.9269  0.2475  0.4260  1 I 1.84
O  0.7098  0.9297  0.4870  1 I 1.86
O  0.4072  0.3157  0.6419  1 I 1.83
O  0.6843  0.5928  0.8581  1 I 1.83
O  0.2475  0.9269  0.9260  1 I 1.84
O  0.9297  0.7098  0.9870  1 I 1.86
O  0.0703  0.2902  0.0130  1 I 1.86
O  0.7525  0.0731  0.0740  1 I 1.84
O  0.3157  0.4072  0.1419  1 I 1.83
O  0.5928  0.6843  0.3581  1 I 1.83
O  0.2902  0.0703  0.5130  1 I 1.86
O  0.0731  0.7525  0.5740  1 I 1.84

Output
Raw formation energy (eV/f.u.): -9.56
Energy relative to the lowest polymorph listed for this composition (kJ per mole of atoms): 0.5
Density (g/cm3): 4.6